Entry from Alexandria via LeMat-Bulk: TlP at its PBEsol-relaxed geometry (SCAN).

Mass density in g cm⁻³: 8.77
Energy in eV/cell: -495.70

The structure in CIF format:
```
data_TlP
_space_group_name_H-M_alt 'R -3 m'
_space_group_IT_number 166
_space_group_name_Hall '-R 3 2"'
_cell_length_a 3.3309
_cell_length_b 3.3309
_cell_length_c 27.8135
_cell_angle_alpha 90.00
_cell_angle_beta 90.00
_cell_angle_gamma 120.00
loop_
_atom_site_label
_atom_site_type_symbol
_atom_site_fract_x
_atom_site_fract_y
_atom_site_fract_z
Tl1 Tl 0.0000 0.0000 0.1152
P1 P 0.0000 0.0000 0.3113
```